Record 1
Computed, not measured: crystalline Sm2PtAu3 at its relaxed geometry at the GGA-PBE level of DFT.

Properties
- E: -5.0165 eV per atom
- DOS at the Fermi energy: 4.9 states/eV per cell
- SG: Pmm2

a = 3.5814 Å, b = 4.7167 Å, c = 8.1201 Å
α = 90.00°, β = 90.00°, γ = 90.00°
Closest atoms and distances in Å follow each position.
Positions (direct):
Sm 0.0000 0.0000 0.0000  2 Pt 3.09, 10 Au 3.19-3.40
Sm 0.0000 0.5000 0.4633  8 Au 3.15-3.33, 4 Pt 3.21
Pt 0.5000 0.0000 0.3102  3 Au 2.71-2.72
Au 0.5000 0.0000 0.6438  1 Pt 2.71, 2 Au 2.71
Au 0.5000 0.5000 0.1445  2 Pt 2.72, 1 Au 2.72
Au 0.5000 0.5000 0.8091  3 Au 2.71-2.72

Record 2
Computed, not measured: crystalline SmPtAu at its relaxed geometry at the GGA-PBE level of DFT.

Properties
- E: -5.4991 eV per atom
- DOS at the Fermi energy: 5.0 states/eV per cell
- SG: F-43m

a = 6.6573 Å, b = 6.6573 Å, c = 6.6573 Å
α = 90.00°, β = 90.00°, γ = 90.00°
Closest atoms and distances in Å follow each position.
Positions (direct):
Sm 0.0000 0.0000 0.0000  4 Pt 2.88
Sm 0.0000 0.5000 0.5000  4 Pt 2.88
Sm 0.5000 0.0000 0.5000  4 Pt 2.88
Sm 0.5000 0.5000 0.0000  4 Pt 2.88
Pt 0.2500 0.2500 0.7500  4 Sm 2.88, 4 Au 2.88
Pt 0.2500 0.7500 0.2500  4 Sm 2.88, 4 Au 2.88
Pt 0.7500 0.2500 0.2500  4 Sm 2.88, 4 Au 2.88
Pt 0.7500 0.7500 0.7500  4 Sm 2.88, 4 Au 2.88
Au 0.0000 0.0000 0.5000  4 Pt 2.88
Au 0.0000 0.5000 0.0000  4 Pt 2.88
Au 0.5000 0.0000 0.0000  4 Pt 2.88
Au 0.5000 0.5000 0.5000  4 Pt 2.88

Record 3
Computed, not measured: crystalline Sm3PtAu at its relaxed geometry at the GGA-PBE level of DFT.

Properties
- E: -5.4526 eV per atom
- DOS at the Fermi energy: 9.5 states/eV per cell
- SG: P-1

a = 5.7594 Å, b = 6.8011 Å, c = 8.0030 Å
α = 101.84°, β = 96.96°, γ = 113.79°
Closest atoms and distances in Å follow each position.
Positions (direct):
Sm 0.0283 0.2155 0.3274  2 Pt 2.95-3.12, 3 Au 3.12-3.29
Sm 0.3042 0.8421 0.1477  3 Pt 2.99-3.07, 2 Au 3.06-3.20
Sm 0.3430 0.4682 0.7642  2 Pt 2.82-2.85, 2 Au 3.10-3.12
Sm 0.6570 0.5318 0.2358  2 Pt 2.82-2.85, 2 Au 3.10-3.12
Sm 0.6958 0.1579 0.8523  3 Pt 2.99-3.07, 2 Au 3.06-3.20
Sm 0.9717 0.7845 0.6726  2 Pt 2.95-3.12, 3 Au 3.12-3.29
Pt 0.2300 0.1764 0.9832  7 Sm 2.82-3.12, 1 Pt 2.86
Pt 0.7700 0.8236 0.0168  7 Sm 2.82-3.12, 1 Pt 2.86
Au 0.4174 0.7526 0.5006  7 Sm 3.06-3.29, 1 Au 3.11
Au 0.5826 0.2474 0.4994  7 Sm 3.06-3.29, 1 Au 3.11

Record 4
Computed, not measured: crystalline Sm5PtAu4 at its relaxed geometry at the GGA-PBE level of DFT.

Properties
- E: -5.1320 eV per atom
- DOS at the Fermi energy: 7.4 states/eV per cell
- SG: P4/mmm

a = 3.6323 Å, b = 3.6323 Å, c = 18.4947 Å
α = 90.00°, β = 90.00°, γ = 90.00°
Closest atoms and distances in Å follow each position.
Positions (direct):
Sm 0.0000 0.0000 0.0000  8 Au 3.18
Sm 0.0000 0.0000 0.2028  8 Au 3.16-3.18
Sm 0.0000 0.0000 0.4063  4 Pt 3.10, 4 Au 3.21, 1 Sm 3.47
Sm 0.0000 0.0000 0.5937  4 Pt 3.10, 4 Au 3.21, 1 Sm 3.47
Sm 0.0000 0.0000 0.7972  8 Au 3.16-3.18
Pt 0.5000 0.5000 0.5000  8 Sm 3.10
Au 0.5000 0.5000 0.1012  8 Sm 3.18
Au 0.5000 0.5000 0.3023  8 Sm 3.16-3.21
Au 0.5000 0.5000 0.6977  8 Sm 3.16-3.21
Au 0.5000 0.5000 0.8988  8 Sm 3.18

Record 5
Computed, not measured: crystalline SmPt3Au at its relaxed geometry at the GGA-PBE level of DFT.

Properties
- E: -5.8584 eV per atom
- DOS at the Fermi energy: 6.3 states/eV per cell
- SG: Imma

a = 6.6890 Å, b = 6.6890 Å, c = 6.6890 Å
α = 132.47°, β = 110.80°, γ = 88.26°
Closest atoms and distances in Å follow each position.
Positions (direct):
Sm 0.2615 0.0115 0.2500  5 Pt 2.87-3.02
Sm 0.7385 0.9885 0.7500  5 Pt 2.87-3.02
Pt 0.0369 0.2869 0.7500  6 Pt 2.75-2.79, 2 Au 2.79, 1 Sm 2.87
Pt 0.3118 0.0000 0.8118  5 Pt 2.70-2.86, 2 Au 2.79, 2 Sm 3.02
Pt 0.3118 0.5000 0.3118  5 Pt 2.70-2.86, 2 Au 2.79, 2 Sm 3.02
Pt 0.6882 0.0000 0.1882  5 Pt 2.70-2.86, 2 Au 2.79, 2 Sm 3.02
Pt 0.6882 0.5000 0.6882  5 Pt 2.70-2.86, 2 Au 2.79, 2 Sm 3.02
Pt 0.9631 0.7131 0.2500  6 Pt 2.75-2.79, 2 Au 2.79, 1 Sm 2.87
Au 0.0000 0.5000 0.5000  6 Pt 2.79
Au 0.5000 0.5000 0.0000  6 Pt 2.79

Record 6
Computed, not measured: crystalline SmPtAu at its relaxed geometry at the GGA-PBE level of DFT.

Properties
- E: -5.5110 eV per atom
- DOS at the Fermi energy: 1.4 states/eV per cell
- SG: P3m1

a = 4.6418 Å, b = 4.6418 Å, c = 3.5948 Å
α = 90.00°, β = 90.00°, γ = 120.00°
Closest atoms and distances in Å follow each position.
Positions (direct):
Sm 0.0000 0.0000 0.0000  6 Pt 3.22-3.23, 6 Au 3.23, 2 Sm 3.59
Pt 0.6667 0.3333 0.5010  3 Au 2.68
Au 0.3333 0.6667 0.4994  3 Pt 2.68

Record 7
Computed, not measured: crystalline SmPtAu3 at its relaxed geometry at the GGA-PBE level of DFT.

Properties
- E: -4.3909 eV per atom
- DOS at the Fermi energy: 5.5 states/eV per cell
- SG: I-4m2

a = 10.0322 Å, b = 10.0322 Å, c = 10.0322 Å
α = 149.65°, β = 149.65°, γ = 43.46°
Closest atoms and distances in Å follow each position.
Positions (direct):
Sm 0.1732 0.1732 0.0000  2 Pt 2.99, 6 Au 3.09-3.20
Sm 0.8268 0.8268 0.0000  2 Pt 2.99, 6 Au 3.09-3.20
Pt 0.2500 0.7500 0.5000  4 Au 2.71, 4 Sm 2.99
Pt 0.5000 0.5000 0.0000  4 Au 2.64
Au 0.3742 0.6229 0.7512  2 Au 2.61-2.64, 2 Pt 2.64-2.71
Au 0.3771 0.1283 0.7512  2 Au 2.61-2.64, 2 Pt 2.64-2.71
Au 0.3771 0.6258 0.2488  2 Au 2.61-2.64, 2 Pt 2.64-2.71
Au 0.5749 0.0749 0.5000  2 Pt 2.97, 4 Au 3.07, 2 Sm 3.20
Au 0.8717 0.6229 0.2488  2 Au 2.61-2.64, 2 Pt 2.64-2.71
Au 0.9251 0.4251 0.5000  2 Pt 2.97, 4 Au 3.07, 2 Sm 3.20

Record 8
Computed, not measured: crystalline SmPtAu at its relaxed geometry at the GGA-PBE level of DFT.

Properties
- E: -5.5524 eV per atom
- DOS at the Fermi energy: 2.0 states/eV per cell
- SG: I4mm

a = 3.7567 Å, b = 3.7567 Å, c = 9.1190 Å
α = 90.00°, β = 90.00°, γ = 90.00°
Closest atoms and distances in Å follow each position.
Positions (direct):
Sm 0.0000 0.0000 0.0000  5 Au 2.98-3.09, 5 Pt 3.01-3.14
Sm 0.5000 0.5000 0.5000  5 Au 2.98-3.09, 5 Pt 3.01-3.14
Pt 0.0000 0.0000 0.6557  5 Au 3.00-3.08, 5 Sm 3.01-3.14
Pt 0.5000 0.5000 0.1557  5 Au 3.00-3.08, 5 Sm 3.01-3.14
Au 0.0000 0.0000 0.3268  5 Sm 2.98-3.09, 5 Pt 3.00-3.08
Au 0.5000 0.5000 0.8268  5 Sm 2.98-3.09, 5 Pt 3.00-3.08

Record 9
Computed, not measured: crystalline Sm3Pt2Au at its relaxed geometry at the GGA-PBE level of DFT.

Properties
- E: -5.9198 eV per atom
- DOS at the Fermi energy: 7.8 states/eV per cell
- SG: Cmmm

a = 5.1135 Å, b = 15.2231 Å, c = 3.5995 Å
α = 90.00°, β = 90.00°, γ = 90.00°
Closest atoms and distances in Å follow each position.
Positions (direct):
Sm 0.0000 0.0000 0.0000  4 Pt 3.07, 4 Au 3.13
Sm 0.0000 0.3282 0.0000  6 Pt 3.09-3.13, 2 Au 3.17
Sm 0.0000 0.6718 0.0000  6 Pt 3.09-3.13, 2 Au 3.17
Sm 0.5000 0.1718 0.0000  6 Pt 3.09-3.13, 2 Au 3.17
Sm 0.5000 0.5000 0.0000  4 Pt 3.07, 4 Au 3.13
Sm 0.5000 0.8282 0.0000  6 Pt 3.09-3.13, 2 Au 3.17
Pt 0.0000 0.1635 0.5000  8 Sm 3.07-3.13
Pt 0.0000 0.8365 0.5000  8 Sm 3.07-3.13
Pt 0.5000 0.3365 0.5000  8 Sm 3.07-3.13
Pt 0.5000 0.6635 0.5000  8 Sm 3.07-3.13
Au 0.0000 0.5000 0.5000  8 Sm 3.13-3.17
Au 0.5000 0.0000 0.5000  8 Sm 3.13-3.17

Record 10
Computed, not measured: crystalline SmPtAu at its relaxed geometry at the GGA-PBE level of DFT.

Properties
- E: -5.6011 eV per atom
- DOS at the Fermi energy: 7.2 states/eV per cell
- SG: C2/m

a = 10.3140 Å, b = 4.0541 Å, c = 7.4011 Å
α = 90.00°, β = 121.82°, γ = 90.00°
Closest atoms and distances in Å follow each position.
Positions (direct):
Sm 0.0529 0.0000 0.2996  5 Pt 2.94-3.07, 4 Au 3.17-3.21
Sm 0.4471 0.5000 0.7004  5 Pt 2.94-3.07, 4 Au 3.17-3.21
Sm 0.5529 0.5000 0.2996  5 Pt 2.94-3.07, 4 Au 3.17-3.21
Sm 0.9471 0.0000 0.7004  5 Pt 2.94-3.07, 4 Au 3.17-3.21
Pt 0.1475 0.5000 0.6596  1 Pt 2.69, 3 Au 2.81-2.95, 1 Sm 2.94
Pt 0.3525 0.0000 0.3404  1 Pt 2.69, 3 Au 2.81-2.95, 1 Sm 2.94
Pt 0.6475 0.0000 0.6596  1 Pt 2.69, 3 Au 2.81-2.95, 1 Sm 2.94
Pt 0.8525 0.5000 0.3404  1 Pt 2.69, 3 Au 2.81-2.95, 1 Sm 2.94
Au 0.1615 0.5000 0.0678  3 Pt 2.81-2.95, 1 Au 2.93
Au 0.3385 0.0000 0.9322  3 Pt 2.81-2.95, 1 Au 2.93
Au 0.6615 0.0000 0.0678  3 Pt 2.81-2.95, 1 Au 2.93
Au 0.8385 0.5000 0.9322  3 Pt 2.81-2.95, 1 Au 2.93

Record 11
Computed, not measured: crystalline SmPt4Au2 at its relaxed geometry at the GGA-PBE level of DFT.

Properties
- E: -5.4836 eV per atom
- DOS at the Fermi energy: 12.9 states/eV per cell
- SG: C2/m

a = 8.7824 Å, b = 6.9191 Å, c = 5.4234 Å
α = 90.00°, β = 127.83°, γ = 90.00°
Closest atoms and distances in Å follow each position.
Positions (direct):
Sm 0.0000 0.0000 0.0000  12 Pt 2.98-3.33
Sm 0.5000 0.5000 0.0000  12 Pt 2.98-3.33
Pt 0.1959 0.1960 0.6957  4 Pt 2.71-2.92, 4 Au 2.84-2.86, 1 Sm 2.98
Pt 0.1959 0.8040 0.6957  4 Pt 2.71-2.92, 4 Au 2.84-2.86, 1 Sm 2.98
Pt 0.3041 0.3040 0.3043  4 Pt 2.71-2.92, 4 Au 2.84-2.86, 1 Sm 2.98
Pt 0.3041 0.6960 0.3043  4 Pt 2.71-2.92, 4 Au 2.84-2.86, 1 Sm 2.98
Pt 0.6959 0.3040 0.6957  4 Pt 2.71-2.92, 4 Au 2.84-2.86, 1 Sm 2.98
Pt 0.6959 0.6960 0.6957  4 Pt 2.71-2.92, 4 Au 2.84-2.86, 1 Sm 2.98
Pt 0.8041 0.1960 0.3043  4 Pt 2.71-2.92, 4 Au 2.84-2.86, 1 Sm 2.98
Pt 0.8041 0.8040 0.3043  4 Pt 2.71-2.92, 4 Au 2.84-2.86, 1 Sm 2.98
Au 0.9998 0.5000 0.2497  2 Au 2.71, 8 Pt 2.84-2.86
Au 0.0002 0.5000 0.7503  2 Au 2.71, 8 Pt 2.84-2.86
Au 0.4998 0.0000 0.2497  2 Au 2.71, 8 Pt 2.84-2.86
Au 0.5002 0.0000 0.7503  2 Au 2.71, 8 Pt 2.84-2.86

Record 12
Computed, not measured: crystalline SmPtAu4 at its relaxed geometry at the GGA-PBE level of DFT.

Properties
- E: -4.3962 eV per atom
- DOS at the Fermi energy: 5.6 states/eV per cell
- SG: C2/m

a = 7.4877 Å, b = 7.4877 Å, c = 5.4012 Å
α = 105.23°, β = 105.23°, γ = 57.93°
Closest atoms and distances in Å follow each position.
Positions (direct):
Sm 0.2172 0.2172 0.1505  10 Au 2.97-3.29, 1 Pt 3.06
Sm 0.7828 0.7828 0.8495  10 Au 2.97-3.29, 1 Pt 3.06
Pt 0.4591 0.4591 0.2372  1 Pt 2.72, 6 Au 2.73-2.85
Pt 0.5409 0.5409 0.7628  1 Pt 2.72, 6 Au 2.73-2.85
Au 0.0734 0.6885 0.4194  1 Pt 2.76, 5 Au 2.79-3.05
Au 0.1875 0.8125 0.0000  1 Au 2.72, 2 Pt 2.73, 2 Sm 3.04
Au 0.3115 0.9266 0.5806  1 Pt 2.76, 5 Au 2.79-3.05
Au 0.3200 0.3200 0.7302  2 Pt 2.80-2.85, 4 Au 2.87-3.04, 2 Sm 2.97-3.01
Au 0.6800 0.6800 0.2698  2 Pt 2.80-2.85, 4 Au 2.87-3.04, 2 Sm 2.97-3.01
Au 0.6885 0.0734 0.4194  1 Pt 2.76, 5 Au 2.79-3.05
Au 0.8125 0.1875 0.0000  1 Au 2.72, 2 Pt 2.73, 2 Sm 3.04
Au 0.9266 0.3115 0.5806  1 Pt 2.76, 5 Au 2.79-3.05

In the order shown, the computed formation energy from the elements values come out to -798 -820 -758 -857 -635 -832 -272 -873 -1000 -922 -421 -418 meV per atom.